Here is a relaxed structure of VCuO4 from the Alexandria database. Energies are from PBE+U.

Cell and atoms, written as CIF:
```
data_VCuO4
_chemical_formula_sum 'V4 Cu4 O16'
_space_group_name_H-M_alt 'C 1 2/m 1'
_space_group_IT_number 12
_space_group_name_Hall '-C 2y'
_cell_length_a 11.199
_cell_length_b 3.599
_cell_length_c 8.037
_cell_angle_alpha 90.00
_cell_angle_beta 98.49
_cell_angle_gamma 90.00
loop_
_atom_site_label
_atom_site_fract_x
_atom_site_fract_y
_atom_site_fract_z
_atom_site_occupancy
V1 0.192 0.000 0.247 1
Cu1 0.095 0.000 0.681 1
O1 0.070 0.000 0.364 1
O2 0.126 0.500 0.737 1
O3 0.137 0.000 0.050 1
O4 0.238 0.500 0.312 1
```

- electronic total energy (eV per atom) = -6.412
- DOS at the Fermi energy (states/eV/atom) = 0.13